Record 1
{"formula": "RbIrOs2O8", "functional": "GGA-PBE", "state": "optimized geometry", "cell": [[4.989, -0.429, 0.147], [1.920, 4.625, 0.147], [0.551, 0.334, 8.565]], "species": ["O", "O", "Ir", "O", "O", "O", "Os", "O", "O", "Rb", "O", "Os"], "frac_coords": [[0.246, 0.767, 0.825], [0.756, 0.756, 0.024], [0.000, 0.000, 0.000], [0.324, 0.324, 0.606], [0.676, 0.676, 0.394], [0.244, 0.244, 0.976], [0.392, 0.392, 0.794], [0.767, 0.246, 0.825], [0.754, 0.233, 0.175], [0.000, 0.000, 0.500], [0.233, 0.754, 0.175], [0.608, 0.608, 0.206]], "total_energy_ev_per_atom": -6.906, "mass_density_g_cm3": 6.4}

---

Record 2
{"formula": "Cs2UAsO6", "functional": "GGA-PBE", "state": "optimized geometry", "cell": [[5.812, 0.000, 0.000], [0.000, 5.812, 0.000], [2.906, 2.906, 5.687]], "species": ["O", "O", "O", "O", "Cs", "Cs", "O", "As", "U", "O"], "frac_coords": [[0.729, 0.271, 0.000], [0.271, 0.271, 0.000], [0.729, 0.729, 0.000], [0.167, 0.167, 0.665], [0.750, 0.250, 0.500], [0.250, 0.750, 0.500], [0.833, 0.833, 0.335], [0.500, 0.500, 0.000], [0.000, 0.000, 0.000], [0.271, 0.729, 0.000]], "total_energy_ev_per_atom": -6.762, "mass_density_g_cm3": 5.8}

---

Record 3
{"formula": "TaTc2Te", "functional": "GGA-PBE", "state": "optimized geometry", "cell": [[6.098, 0.000, 0.000], [0.000, 6.098, 0.000], [3.049, 3.049, 5.344]], "species": ["Tc", "Ta", "Tc", "Ta", "Te", "Tc", "Tc", "Te"], "frac_coords": [[0.875, 0.886, 0.750], [0.750, 0.250, 0.500], [0.636, 0.125, 0.250], [0.000, 0.000, 0.000], [0.500, 0.500, 0.000], [0.375, 0.364, 0.750], [0.114, 0.625, 0.250], [0.250, 0.750, 0.500]], "total_energy_ev_per_atom": -7.843, "mass_density_g_cm3": 8.4}

---

Record 4
{"formula": "Ba3TlCd3", "functional": "GGA-PBE", "state": "optimized geometry", "cell": [[-5.110, 0.751, 0.192], [-3.066, -1.593, -5.811], [-4.686, -15.383, 5.071]], "species": ["Cd", "Ba", "Tl", "Ba", "Ba", "Cd", "Ba", "Tl", "Ba", "Ba", "Cd", "Cd", "Cd", "Cd"], "frac_coords": [[0.102, 0.875, 0.922], [0.243, 0.279, 0.235], [0.751, 0.105, 0.394], [0.757, 0.721, 0.765], [0.603, 0.714, 0.079], [0.128, 0.286, 0.458], [0.549, 0.295, 0.608], [0.249, 0.895, 0.606], [0.451, 0.705, 0.392], [0.397, 0.286, 0.921], [0.047, 0.137, 0.768], [0.953, 0.863, 0.232], [0.898, 0.125, 0.078], [0.872, 0.714, 0.542]], "ef_ev_per_atom": -0.310, "total_energy_ev_per_atom": -1.865, "mass_density_g_cm3": 5.9}